# 1
The following is a DFT calculation (PBE) of a geometry-optimized TiTlBr2 structure.

Cell: 7.049 7.049 7.049 Å, 100.91 100.91 128.41°
Element x y z (fractional)
1 Ti 0.000 0.000 0.000
2 Ti 0.750 0.250 0.500
3 Tl 0.250 0.750 0.500
4 Tl 0.500 0.500 0.000
5 Br 0.375 0.004 0.129
6 Br 0.754 0.625 0.629
7 Br 0.875 0.246 0.871
8 Br 0.996 0.125 0.371

Output
SG: I-42d
Theoretical density in g cm⁻³: 5.54
E above lowest polymorph in eV per atom: 0.197
Final energy in eV per atom: -3.89

=====

# 2
The following is a DFT calculation (PBE) of a geometry-optimized K2TlRu structure.

Cell: 5.685 5.685 5.685 Å, 60.00 60.00 60.00°
Element x y z (fractional)
1 K 0.250 0.250 0.250
2 K 0.750 0.750 0.750
3 Tl 0.000 0.000 0.000
4 Ru 0.500 0.500 0.500

Output
SG: Fm-3m
Theoretical density in g cm⁻³: 4.90
E above lowest polymorph in eV per atom: 0.564
Final energy in eV per atom: -2.44

=====

# 3
The following is a DFT calculation (PBE) of a geometry-optimized TeSe5 structure.

Cell: 5.738 5.738 5.738 Å, 60.00 60.00 60.00°
Element x y z (fractional)
1 Te 0.000 0.000 0.000
2 Se 0.377 0.377 0.377
3 Se 0.377 0.377 0.869
4 Se 0.377 0.869 0.377
5 Se 0.750 0.750 0.750
6 Se 0.869 0.377 0.377

Output
SG: F-43m
Theoretical density in g cm⁻³: 6.50
E above lowest polymorph in eV per atom: 0.578
Final energy in eV per atom: -2.69

=====

# 4
The following is a DFT calculation (PBE) of a geometry-optimized CsPb2I structure.

Cell: 13.728 13.728 13.728 Å, 157.99 157.99 31.33°
Element x y z (fractional)
1 Cs 0.000 0.000 0.000
2 Cs 0.750 0.250 0.500
3 Pb 0.208 0.625 0.083
4 Pb 0.375 0.458 0.583
5 Pb 0.542 0.125 0.917
6 Pb 0.875 0.792 0.417
7 I 0.250 0.750 0.500
8 I 0.500 0.500 0.000

Output
SG: I-42d
Theoretical density in g cm⁻³: 6.17
E above lowest polymorph in eV per atom: 0.000
Final energy in eV per atom: -2.73

=====

# 5
The following is a DFT calculation (PBE) of a geometry-optimized Cs3Li2ErBr8 structure.

Cell: 7.866 7.866 10.216 Å, 90.00 90.00 120.00°
Element x y z (fractional)
1 Cs 0.000 0.000 0.000
2 Cs 0.333 0.667 0.651
3 Cs 0.667 0.333 0.349
4 Li 0.333 0.667 0.217
5 Li 0.667 0.333 0.783
6 Er 0.000 0.000 0.500
7 Br 0.164 0.328 0.339
8 Br 0.164 0.836 0.339
9 Br 0.328 0.164 0.661
10 Br 0.333 0.667 0.985
11 Br 0.667 0.333 0.015
12 Br 0.672 0.836 0.339
13 Br 0.836 0.164 0.661
14 Br 0.836 0.672 0.661

Output
SG: P-3m1
Theoretical density in g cm⁻³: 3.70
Final energy in eV per atom: -3.47

=====

# 6
The following is a DFT calculation (PBE) of a geometry-optimized LiAsCF2 structure.

Cell: 4.246 4.246 4.001 Å, 90.00 90.00 90.00°
Element x y z (fractional)
1 Li 0.000 0.000 0.000
2 As 0.500 0.500 0.000
3 C 0.500 0.500 0.500
4 F 0.000 0.500 0.500
5 F 0.500 0.000 0.500

Output
SG: P4/mmm
Theoretical density in g cm⁻³: 3.03
Final energy in eV per atom: -3.85

=====

# 7
The following is a DFT calculation (PBE) of a geometry-optimized YCuN3 structure.

Cell: 3.786 3.786 3.786 Å, 90.00 90.00 90.00°
Element x y z (fractional)
1 Y 0.000 0.000 0.000
2 Cu 0.500 0.500 0.500
3 N 0.000 0.500 0.500
4 N 0.500 0.000 0.500
5 N 0.500 0.500 0.000

Output
SG: Pm-3m
Theoretical density in g cm⁻³: 5.95
Final energy in eV per atom: -6.56

=====

# 8
The following is a DFT calculation (PBE) of a geometry-optimized PaNbCr2N6 structure.

Cell: 5.288 5.293 5.441 Å, 90.07 117.97 119.60°
Element x y z (fractional)
1 Pa 0.000 0.000 0.000
2 Nb 0.027 0.515 0.494
3 Cr 0.563 0.800 0.324
4 Cr 0.571 0.291 0.845
5 N 0.084 0.178 0.632
6 N 0.097 0.447 0.146
7 N 0.472 0.907 0.625
8 N 0.510 0.041 0.113
9 N 0.708 0.631 0.143
10 N 0.753 0.562 0.644

Output
SG: P1
Theoretical density in g cm⁻³: 7.63
Final energy in eV per atom: -9.58

=====

# 9
The following is a DFT calculation (PBE) of a geometry-optimized ZrCr2Pt structure.

Cell: 8.728 8.728 8.728 Å, 19.13 19.13 19.13°
Element x y z (fractional)
1 Zr 0.000 0.000 0.000
2 Cr 0.488 0.488 0.488
3 Cr 0.761 0.761 0.761
4 Pt 0.239 0.239 0.239

Output
SG: R3m
Theoretical density in g cm⁻³: 10.38
Final energy in eV per atom: -8.34

=====

# 10
The following is a DFT calculation (PBE) of a geometry-optimized UP3 structure.

Cell: 5.312 5.312 5.312 Å, 138.42 138.42 60.27°
Element x y z (fractional)
1 U 0.000 0.000 0.000
2 P 0.250 0.750 0.500
3 P 0.500 0.500 0.000
4 P 0.750 0.250 0.500

Output
SG: I4/mmm
Theoretical density in g cm⁻³: 8.41
Final energy in eV per atom: -7.37

=====

# 11
The following is a DFT calculation (PBE) of a geometry-optimized CaSnGe2O6 structure.

Cell: 7.466 7.466 5.796 Å, 102.58 102.58 82.53°
Element x y z (fractional)
1 Ca 0.182 0.818 0.750
2 Ca 0.818 0.182 0.250
3 Sn 0.385 0.615 0.250
4 Sn 0.615 0.385 0.750
5 Ge 0.113 0.317 0.748
6 Ge 0.317 0.113 0.248
7 Ge 0.683 0.887 0.752
8 Ge 0.887 0.683 0.252
9 O 0.125 0.666 0.358
10 O 0.160 0.170 0.459
11 O 0.170 0.160 0.959
12 O 0.207 0.526 0.852
13 O 0.334 0.875 0.142
14 O 0.474 0.793 0.648
15 O 0.526 0.207 0.352
16 O 0.666 0.125 0.858
17 O 0.793 0.474 0.148
18 O 0.830 0.840 0.041
19 O 0.840 0.830 0.541
20 O 0.875 0.334 0.642

Output
SG: C2/c
Theoretical density in g cm⁻³: 4.33
Final energy in eV per atom: -6.36

=====

# 12
The following is a DFT calculation (PBE) of a geometry-optimized BAsSeBr2 structure.

Cell: 4.481 4.481 5.016 Å, 90.00 90.00 90.00°
Element x y z (fractional)
1 B 0.000 0.000 0.000
2 As 0.000 0.000 0.500
3 Se 0.500 0.500 0.500
4 Br 0.000 0.500 0.000
5 Br 0.500 0.000 0.000

Output
SG: P4/mmm
Theoretical density in g cm⁻³: 5.35
E above lowest polymorph in eV per atom: 0.037
Final energy in eV per atom: -2.82

=====

# 13
The following is a DFT calculation (PBE) of a geometry-optimized KCuBr2 structure.

Cell: 5.258 5.258 5.258 Å, 60.00 60.00 60.00°
Element x y z (fractional)
1 K 0.000 0.000 0.000
2 Cu 0.500 0.500 0.500
3 Br 0.250 0.250 0.250
4 Br 0.750 0.750 0.750

Output
SG: Fm-3m
Theoretical density in g cm⁻³: 4.24
E above lowest polymorph in eV per atom: 0.427
Final energy in eV per atom: -2.70

=====

# 14
The following is a DFT calculation (PBE) of a geometry-optimized Li7Pd2 structure.

Cell: 4.388 4.388 8.100 Å, 90.00 90.00 120.00°
Element x y z (fractional)
1 Li 0.000 0.000 0.000
2 Li 0.000 0.000 0.320
3 Li 0.000 0.000 0.680
4 Li 0.333 0.667 0.107
5 Li 0.333 0.667 0.436
6 Li 0.667 0.333 0.564
7 Li 0.667 0.333 0.893
8 Pd 0.333 0.667 0.770
9 Pd 0.667 0.333 0.230

Output
SG: P-3m1
Theoretical density in g cm⁻³: 3.21
E above lowest polymorph in eV per atom: 0.000
Final energy in eV per atom: -2.91

=====

# 15
The following is a DFT calculation (PBE) of a geometry-optimized Ba2YMn structure.

Cell: 3.904 3.908 10.307 Å, 90.00 90.11 90.00°
Element x y z (fractional)
1 Ba 0.000 0.000 0.000
2 Ba 0.497 0.500 0.357
3 Y 0.499 0.500 0.711
4 Mn 0.998 0.000 0.574

Output
SG: Pm
Theoretical density in g cm⁻³: 4.42
E above lowest polymorph in eV per atom: 0.000
Final energy in eV per atom: -4.57

=====

# 16
The following is a DFT calculation (PBE) of a geometry-optimized TlTc2Br2 structure.

Cell: 6.229 6.229 6.229 Å, 134.97 134.97 65.58°
Element x y z (fractional)
1 Tl 0.000 0.000 0.000
2 Tc 0.401 0.401 0.000
3 Tc 0.599 0.599 0.000
4 Br 0.250 0.750 0.500
5 Br 0.750 0.250 0.500

Output
SG: I4/mmm
Theoretical density in g cm⁻³: 7.81
E above lowest polymorph in eV per atom: 0.000
Final energy in eV per atom: -4.67

=====

# 17
The following is a DFT calculation (PBE) of a geometry-optimized Dy3Ho4Ga4 structure.

Cell: 9.121 9.121 9.121 Å, 150.73 127.88 60.90°
Element x y z (fractional)
1 Dy 0.000 0.000 0.000
2 Dy 0.387 0.887 0.500
3 Dy 0.613 0.113 0.500
4 Ho 0.035 0.331 0.704
5 Ho 0.372 0.669 0.704
6 Ho 0.628 0.331 0.296
7 Ho 0.965 0.669 0.296
8 Ga 0.215 0.215 0.000
9 Ga 0.335 0.500 0.835
10 Ga 0.665 0.500 0.165
11 Ga 0.785 0.785 0.000

Output
SG: Immm
Theoretical density in g cm⁻³: 8.16
Final energy in eV per atom: -4.35

=====

# 18
The following is a DFT calculation (PBE) of a geometry-optimized CeYOs4 structure.

Cell: 5.386 5.386 5.386 Å, 60.00 60.00 60.00°
Element x y z (fractional)
1 Ce 0.000 0.000 0.000
2 Y 0.250 0.250 0.250
3 Os 0.125 0.625 0.625
4 Os 0.625 0.125 0.625
5 Os 0.625 0.625 0.125
6 Os 0.625 0.625 0.625

Output
SG: F-43m
Theoretical density in g cm⁻³: 14.88
Final energy in eV per atom: -9.79

=====

# 19
The following is a DFT calculation (PBE) of a geometry-optimized Zn2BiAu structure.

Cell: 9.597 9.597 9.597 Å, 153.16 153.16 38.33°
Element x y z (fractional)
1 Zn 0.039 0.625 0.914
2 Zn 0.375 0.289 0.414
3 Zn 0.711 0.125 0.086
4 Zn 0.875 0.961 0.586
5 Bi 0.250 0.750 0.500
6 Bi 0.500 0.500 0.000
7 Au 0.000 0.000 0.000
8 Au 0.750 0.250 0.500

Output
SG: I-42d
Theoretical density in g cm⁻³: 9.91
Final energy in eV per atom: -2.41

=====

# 20
The following is a DFT calculation (PBE) of a geometry-optimized Na2TaF8 structure.

Cell: 4.671 5.464 7.651 Å, 88.55 72.76 86.77°
Element x y z (fractional)
1 Na 0.170 0.035 0.214
2 Na 0.830 0.965 0.786
3 Ta 0.500 0.500 0.500
4 F 0.156 0.615 0.693
5 F 0.200 0.052 0.916
6 F 0.294 0.214 0.468
7 F 0.345 0.678 0.324
8 F 0.655 0.322 0.676
9 F 0.706 0.786 0.532
10 F 0.800 0.948 0.084
11 F 0.844 0.385 0.307

Output
SG: P-1
Theoretical density in g cm⁻³: 3.38
Final energy in eV per atom: -5.48